## PmPrS (GGA-PBE)

Data for crystalline PmPrS at its relaxed geometry.

```
PmPrS
1.0
3.957 0.000 0.000
-1.978 3.427 0.000
0.000 0.000 6.600
Pm Pr S
1 1 1
direct
0.000 0.000 0.000
0.667 0.333 0.486
0.333 0.667 0.749
```

Summary:
**Formation energy (no corrections)**: -28.7 kcal/mol of atoms
**Energy**: -5.798 eV/atom
**Calculated volume**: 89.5 Å³ per cell